# 1
This record from Alexandria describes a relaxed structure of BaOsRu. The functional is PBE.

Unit cell a=2.9902 b=2.9902 c=7.8918 alpha=90.00 beta=90.00 gamma=120.00
With the nearest neighbours (Å) after each atom.
Space group P3m1 (No. 156)
Asymmetric unit:
Ba  0.0000  0.0000  0.0000 [1 per cell]  6 Ba 2.99
Os  0.6667  0.3333  0.3780 [1 per cell]  3 Ru 2.60
Ru  0.3333  0.6667  0.6237 [1 per cell]  3 Os 2.60

Output
E above lowest polymorph (meV/atom): 930
Calculated volume (Å³/atom): 20.37
Formation energy (eV per atom): 1.2629
DFT total energy (eV per atom): -6.21
D(E_F) (states/eV/f.u.): 5.0

# 2
This record from Alexandria describes a relaxed structure of Cs2SCl. The functional is PBE.

Unit cell a=7.7296 b=7.7296 c=16.4862 alpha=90.00 beta=90.00 gamma=90.00
With the nearest neighbours (Å) after each atom.
Space group I-42d (No. 122)
Asymmetric unit:
Cs  0.2441  0.2500  0.1250 [8 per cell]  2 Cl 3.40, 2 S 3.45
S  0.0000  0.0000  0.5000 [4 per cell]  4 Cs 3.45
Cl  0.0000  0.0000  0.0000 [4 per cell]  4 Cs 3.40

Output
E above lowest polymorph (meV/atom): 103
Calculated volume (Å³/atom): 61.56
Formation energy from raw total energies (eV/atom): -1.06
DFT total energy (eV per atom): -2.98
D(E_F) (states/eV/f.u.): 8.1